Ca3CuIrO6 | Alexandria | PBEsol | optimized geometry; total energy = -6.686 eV per atom; mass density = 5897 kg/m3; crystal system = monoclinic; magnetic moment = 2.45 μB per cell
1.0
6.407 0.007 0.007
0.004 6.442 0.012
0.004 -0.122 6.441
Ca Cu Ir O
6 2 2 12
Cartesian
4.809 2.517 3.867 Ca
1.606 3.810 2.593 Ca
3.976 5.639 4.786 Ca
5.642 1.663 0.727 Ca
2.439 0.688 1.674 Ca
0.773 4.664 5.733 Ca
1.606 1.146 5.203 Cu
4.809 5.181 1.257 Cu
0.002 -0.061 3.220 Ir
3.205 3.224 0.010 Ir
3.496 1.224 5.814 O
6.122 0.543 5.119 O
2.919 5.103 0.646 O
0.293 5.784 1.341 O
1.328 2.567 0.229 O
1.883 6.148 3.885 O
5.087 3.760 6.231 O
4.531 0.179 2.575 O
2.770 3.618 4.573 O
0.441 1.826 2.744 O
3.645 2.709 1.887 O
5.973 4.501 3.716 O